Compound: LuFe2Ir
Source: OQMD via LeMat-Bulk
Functional: PBE
Structure: relaxed

Values from the calculation:
The calculation puts the size of the total moment at 5.286 μB per formula unit. The formation energy is -11.9 kJ/mol of atoms.

Cell: 6.266 6.266 6.266 Å, 90.00 90.00 90.00°
Space group F-43m (No. 216)
Asymmetric unit:
1 Lu 0.000 0.000 0.000 x4
2 Fe 0.000 0.000 0.500 x4
3 Fe 0.250 0.250 0.750 x4
4 Ir 0.250 0.250 0.250 x4